ZrScRh2: single point on PBEsol structure, meta-GGA SCAN.

Geometry as CIF:
```
data_ZrScRh2
_chemical_formula_sum 'Zr2 Sc2 Rh4'
_cell_length_a 3.588
_cell_length_b 3.988
_cell_length_c 9.378
_cell_angle_alpha 90.00
_cell_angle_beta 90.00
_cell_angle_gamma 90.00
_space_group_name_H-M_alt 'I m m 2'
_space_group_IT_number 44
loop_
_space_group_symop_operation_xyz
'x,y,z'
'-x,-y,z'
'-x,y,z'
'x,-y,z'
'x+1/2,y+1/2,z+1/2'
'-x+1/2,-y+1/2,z+1/2'
'-x+1/2,y+1/2,z+1/2'
'x+1/2,-y+1/2,z+1/2'
loop_
_atom_site_label
_atom_site_type_symbol
_atom_site_fract_x
_atom_site_fract_y
_atom_site_fract_z
Zr1 Zr 0.000 0.000 0.000
Sc1 Sc 0.000 0.500 0.244
Rh1 Rh 0.000 0.000 0.497
Rh2 Rh 0.000 0.500 0.742
```

energy of formation from the pure elements	-0.852	eV/atom

Al3Se: single point on PBEsol structure, meta-GGA SCAN.

Geometry as CIF:
```
data_Al3Se
_chemical_formula_sum 'Al12 Se4'
_cell_length_a 6.584
_cell_length_b 6.584
_cell_length_c 6.584
_cell_angle_alpha 90.00
_cell_angle_beta 90.00
_cell_angle_gamma 90.00
_space_group_name_H-M_alt 'F m -3 m'
_space_group_IT_number 225
_space_group_name_Hall '-F 4 2 3'
loop_
_atom_site_label
_atom_site_type_symbol
_atom_site_fract_x
_atom_site_fract_y
_atom_site_fract_z
Al1 Al 0.000 0.000 0.000
Al2 Al 0.250 0.250 0.250
Se1 Se 0.000 0.000 0.500
```

formation energy (no corrections)	0.25	eV/atom